1.
The following is a GGA-PBEsol calculation of a relaxed LiVS2O8 crystal, from Alexandria.

Geometry as POSCAR:
```
LiVS2O8
1.0
8.960 0.000 0.000
0.024 9.145 0.000
0.069 0.055 13.369
Li V S O
8 8 16 64
direct
0.000 0.000 0.000
0.005 0.488 0.251
0.275 0.815 0.001
0.321 0.817 0.502
0.335 0.327 0.750
0.522 0.539 0.247
0.590 0.999 0.499
0.841 0.707 0.753
0.149 0.910 0.254
0.154 0.406 0.002
0.441 0.405 0.501
0.443 0.906 0.751
0.653 0.623 0.000
0.654 0.123 0.248
0.938 0.129 0.746
0.942 0.623 0.499
0.110 0.844 0.652
0.114 0.342 0.595
0.232 0.110 0.886
0.241 0.612 0.364
0.359 0.113 0.387
0.360 0.610 0.865
0.480 0.843 0.153
0.483 0.339 0.094
0.611 0.191 0.653
0.612 0.688 0.600
0.734 0.920 0.884
0.739 0.412 0.366
0.854 0.915 0.385
0.861 0.419 0.865
0.981 0.191 0.154
0.982 0.693 0.099
0.012 0.958 0.362
0.018 0.743 0.202
0.019 0.451 0.895
0.021 0.241 0.050
0.039 0.283 0.231
0.041 0.037 0.157
0.043 0.539 0.097
0.050 0.787 0.023
0.052 0.752 0.731
0.052 0.997 0.657
0.053 0.496 0.590
0.066 0.250 0.516
0.072 0.077 0.861
0.078 0.288 0.699
0.080 0.787 0.549
0.082 0.568 0.383
0.248 0.776 0.355
0.252 0.271 0.900
0.265 0.079 0.300
0.266 0.583 0.957
0.268 0.025 0.974
0.280 0.851 0.654
0.284 0.358 0.600
0.296 0.538 0.277
0.311 0.856 0.154
0.313 0.530 0.779
0.316 0.356 0.094
0.323 0.079 0.795
0.326 0.584 0.458
0.329 0.026 0.477
0.344 0.272 0.405
0.346 0.773 0.852
0.512 0.785 0.050
0.516 0.572 0.892
0.519 0.078 0.360
0.521 0.287 0.198
0.533 0.749 0.232
0.539 0.252 0.014
0.543 0.993 0.158
0.544 0.496 0.095
0.545 0.280 0.730
0.550 0.786 0.523
0.555 0.034 0.655
0.555 0.537 0.590
0.573 0.239 0.549
0.577 0.741 0.703
0.577 0.960 0.862
0.578 0.453 0.386
0.746 0.756 0.895
0.750 0.252 0.350
0.765 0.948 0.293
0.768 0.453 0.955
0.777 0.186 0.656
0.780 0.684 0.596
0.785 0.493 0.276
0.789 0.995 0.971
0.801 0.991 0.473
0.815 0.180 0.155
0.818 0.687 0.091
0.823 0.504 0.778
0.824 0.950 0.791
0.826 0.449 0.456
0.846 0.259 0.847
0.850 0.752 0.399
```

## Properties
Symmetry: P1

---

2.
The following is a GGA-PBEsol calculation of a relaxed Li3VS3O12 crystal, from Alexandria.

Geometry as POSCAR:
```
Li3VS3O12
1.0
6.546 3.779 3.049
-6.546 3.779 3.049
0.000 -7.558 3.049
Li V S O
6 2 6 24
direct
0.087 0.523 0.756
0.244 0.913 0.477
0.477 0.244 0.913
0.523 0.756 0.087
0.756 0.087 0.523
0.913 0.477 0.244
0.000 0.000 0.000
0.500 0.500 0.500
0.095 0.233 0.445
0.233 0.445 0.095
0.445 0.095 0.233
0.555 0.905 0.767
0.767 0.555 0.905
0.905 0.767 0.555
0.017 0.859 0.763
0.030 0.719 0.468
0.119 0.516 0.178
0.141 0.237 0.983
0.178 0.119 0.516
0.237 0.983 0.141
0.244 0.419 0.490
0.281 0.532 0.970
0.419 0.490 0.244
0.468 0.030 0.719
0.484 0.822 0.881
0.490 0.244 0.419
0.510 0.756 0.581
0.516 0.178 0.119
0.532 0.970 0.281
0.581 0.510 0.756
0.719 0.468 0.030
0.756 0.581 0.510
0.763 0.017 0.859
0.822 0.881 0.484
0.859 0.763 0.017
0.881 0.484 0.822
0.970 0.281 0.532
0.983 0.141 0.237
```

## Properties
Symmetry: R-3

---

3.
The following is a GGA-PBEsol calculation of a relaxed Li2V2S3O12 crystal, from Alexandria.

Geometry as POSCAR:
```
Li2V2S3O12
1.0
12.231 0.000 0.000
0.000 8.578 0.000
0.000 0.000 8.800
Li V S O
8 8 12 48
direct
0.181 0.213 0.224
0.181 0.787 0.724
0.319 0.287 0.724
0.319 0.713 0.224
0.681 0.287 0.776
0.681 0.713 0.276
0.819 0.213 0.276
0.819 0.787 0.776
0.114 0.252 0.539
0.114 0.748 0.039
0.386 0.248 0.039
0.386 0.752 0.539
0.614 0.248 0.461
0.614 0.752 0.961
0.886 0.252 0.961
0.886 0.748 0.461
0.000 0.454 0.250
0.000 0.546 0.750
0.148 0.105 0.896
0.148 0.895 0.396
0.352 0.395 0.396
0.352 0.605 0.896
0.500 0.046 0.750
0.500 0.954 0.250
0.648 0.395 0.104
0.648 0.605 0.604
0.852 0.105 0.604
0.852 0.895 0.104
0.035 0.145 0.931
0.035 0.855 0.431
0.062 0.455 0.639
0.062 0.545 0.139
0.080 0.349 0.329
0.080 0.651 0.829
0.162 0.067 0.390
0.162 0.933 0.890
0.183 0.170 0.747
0.183 0.830 0.247
0.221 0.169 0.017
0.221 0.831 0.517
0.279 0.331 0.517
0.279 0.669 0.017
0.317 0.330 0.247
0.317 0.670 0.747
0.338 0.433 0.890
0.338 0.567 0.390
0.420 0.151 0.829
0.420 0.849 0.329
0.438 0.045 0.139
0.438 0.955 0.639
0.465 0.355 0.431
0.465 0.645 0.931
0.535 0.355 0.069
0.535 0.645 0.569
0.562 0.045 0.361
0.562 0.955 0.861
0.580 0.151 0.671
0.580 0.849 0.171
0.662 0.433 0.610
0.662 0.567 0.110
0.683 0.330 0.253
0.683 0.670 0.753
0.721 0.331 0.983
0.721 0.669 0.483
0.779 0.169 0.483
0.779 0.831 0.983
0.817 0.170 0.753
0.817 0.830 0.253
0.838 0.067 0.110
0.838 0.933 0.610
0.920 0.349 0.171
0.920 0.651 0.671
0.938 0.455 0.861
0.938 0.545 0.361
0.965 0.145 0.569
0.965 0.855 0.069
```

## Properties
Symmetry: Pbcn

---

4.
The following is a GGA-PBEsol calculation of a relaxed LiV2S3O12 crystal, from Alexandria.

Geometry as POSCAR:
```
LiV2S3O12
1.0
4.283 2.473 6.971
-4.283 2.473 6.971
0.000 -4.946 6.971
Li V S O
2 4 6 24
direct
0.000 0.000 0.000
0.500 0.500 0.500
0.142 0.142 0.142
0.358 0.358 0.358
0.642 0.642 0.642
0.858 0.858 0.858
0.046 0.750 0.454
0.250 0.546 0.954
0.454 0.046 0.750
0.546 0.954 0.250
0.750 0.454 0.046
0.954 0.250 0.546
0.008 0.812 0.605
0.062 0.908 0.266
0.092 0.734 0.938
0.105 0.312 0.508
0.188 0.395 0.992
0.234 0.592 0.438
0.266 0.062 0.908
0.312 0.508 0.105
0.395 0.992 0.188
0.408 0.562 0.766
0.438 0.234 0.592
0.492 0.895 0.688
0.508 0.105 0.312
0.562 0.766 0.408
0.592 0.438 0.234
0.605 0.008 0.812
0.688 0.492 0.895
0.734 0.938 0.092
0.766 0.408 0.562
0.812 0.605 0.008
0.895 0.688 0.492
0.908 0.266 0.062
0.938 0.092 0.734
0.992 0.188 0.395
```

## Properties
Symmetry: R-3c

---

5.
The following is a GGA-PBEsol calculation of a relaxed LiSbO2 crystal, from Alexandria.

Geometry as POSCAR:
```
LiSbO2
1.0
4.220 0.000 0.000
0.000 18.265 0.000
-0.008 0.000 5.818
Li Sb O
8 8 16
direct
0.209 0.215 0.318
0.209 0.285 0.818
0.290 0.713 0.494
0.290 0.787 0.994
0.710 0.213 0.006
0.710 0.287 0.506
0.791 0.715 0.182
0.791 0.785 0.682
0.211 0.094 0.885
0.211 0.406 0.385
0.291 0.595 0.061
0.291 0.905 0.561
0.709 0.095 0.439
0.709 0.405 0.939
0.789 0.594 0.615
0.789 0.906 0.115
0.209 0.108 0.536
0.209 0.194 0.984
0.209 0.306 0.484
0.209 0.392 0.036
0.290 0.607 0.713
0.290 0.893 0.213
0.291 0.696 0.159
0.291 0.804 0.659
0.709 0.196 0.341
0.709 0.304 0.841
0.710 0.107 0.787
0.710 0.393 0.287
0.791 0.608 0.964
0.791 0.694 0.516
0.791 0.806 0.016
0.791 0.892 0.464
```

## Properties
Symmetry: P2_1/c

---

6.
The following is a GGA-PBEsol calculation of a relaxed Li3SbO3 crystal, from Alexandria.

Geometry as POSCAR:
```
Li3SbO3
1.0
7.055 0.000 0.000
0.000 7.055 0.000
0.000 0.000 7.055
Li Sb O
12 4 12
direct
0.028 0.472 0.528
0.241 0.759 0.259
0.246 0.746 0.754
0.254 0.254 0.254
0.259 0.241 0.759
0.472 0.528 0.028
0.528 0.028 0.472
0.741 0.741 0.741
0.746 0.754 0.246
0.754 0.246 0.746
0.759 0.259 0.241
0.972 0.972 0.972
0.025 0.975 0.475
0.475 0.025 0.975
0.525 0.525 0.525
0.975 0.475 0.025
0.006 0.742 0.101
0.101 0.006 0.742
0.242 0.399 0.994
0.258 0.601 0.494
0.399 0.994 0.242
0.494 0.258 0.601
0.506 0.758 0.899
0.601 0.494 0.258
0.742 0.101 0.006
0.758 0.899 0.506
0.899 0.506 0.758
0.994 0.242 0.399
```

## Properties
Symmetry: P2_13

---

7.
The following is a GGA-PBEsol calculation of a relaxed LiSbO2 crystal, from Alexandria.

Geometry as POSCAR:
```
LiSbO2
1.0
3.493 -4.271 0.000
3.493 4.271 0.000
-3.426 0.000 4.013
Li Sb O
2 2 4
direct
0.048 0.952 0.750
0.952 0.048 0.250
0.391 0.609 0.250
0.609 0.391 0.750
0.232 0.304 0.738
0.304 0.232 0.238
0.696 0.768 0.762
0.768 0.696 0.262
```

## Properties
Symmetry: C2/c

---

8.
The following is a GGA-PBEsol calculation of a relaxed Li3SbO crystal, from Alexandria.

Geometry as POSCAR:
```
Li3SbO
1.0
4.031 0.000 0.000
0.000 4.031 0.000
0.000 0.000 4.031
Li Sb O
3 1 1
direct
0.000 0.000 0.500
0.000 0.500 0.000
0.500 0.000 0.000
0.500 0.500 0.500
0.000 0.000 0.000
```

## Properties
Symmetry: Pm-3m

---

9.
The following is a GGA-PBEsol calculation of a relaxed Li3SbO3 crystal, from Alexandria.

Geometry as POSCAR:
```
Li3SbO3
1.0
-4.275 4.275 4.275
4.275 -4.275 4.275
4.275 4.275 -4.275
Li Sb O
12 4 12
direct
0.000 0.288 0.533
0.000 0.533 0.288
0.245 0.712 0.712
0.288 0.000 0.533
0.288 0.533 0.000
0.467 0.467 0.755
0.467 0.755 0.467
0.533 0.000 0.288
0.533 0.288 0.000
0.712 0.245 0.712
0.712 0.712 0.245
0.755 0.467 0.467
0.000 0.000 0.722
0.000 0.722 0.000
0.278 0.278 0.278
0.722 0.000 0.000
0.000 0.505 0.761
0.000 0.761 0.505
0.239 0.239 0.745
0.239 0.745 0.239
0.255 0.495 0.495
0.495 0.255 0.495
0.495 0.495 0.255
0.505 0.000 0.761
0.505 0.761 0.000
0.745 0.239 0.239
0.761 0.000 0.505
0.761 0.505 0.000
```

## Properties
Symmetry: I-43m

---

10.
The following is a GGA-PBEsol calculation of a relaxed Li4SbTe3O12 crystal, from Alexandria.

Geometry as POSCAR:
```
Li4SbTe3O12
1.0
5.212 0.000 0.000
0.003 5.551 0.000
0.001 0.670 7.598
Li Sb Te O
4 1 3 12
direct
0.000 0.000 0.000
0.007 0.010 0.497
0.503 0.505 0.006
0.514 0.499 0.494
0.506 0.931 0.213
0.005 0.432 0.214
0.007 0.437 0.716
0.506 0.928 0.712
0.139 0.411 0.967
0.180 0.092 0.266
0.207 0.751 0.630
0.334 0.222 0.630
0.340 0.604 0.266
0.367 0.910 0.953
0.645 0.900 0.466
0.655 0.606 0.769
0.696 0.229 0.130
0.806 0.738 0.133
0.824 0.077 0.769
0.877 0.404 0.459
```

## Properties
Symmetry: P1

---

Let's list E_form (uncorrected) in order: -1698, -1763, -1655, -1655, -1644, -1679, -1615, -1003, -1780, -1421 meV per atom.